The following is a DFT calculation (GGA-PBE) of a relaxed PmDyAlGe crystal.

Energy above the most stable polymorph in this dataset in eV/atom: 0.000
E_form in eV per atom: -0.680
Space group: Amm2 (38)
Density of states at the Fermi level in states/eV/cell: 3.33

a = 4.060 Å, b = 5.966 Å, c = 5.966 Å
α = 43.43°, β = 90.00°, γ = 90.00°
Atoms (fractional coordinates):
Pm (0.000, 0.000, 0.000)
Dy (0.500, 0.718, 0.718)
Al (0.500, 0.429, 0.429)
Ge (0.000, 0.280, 0.280)

***

The following is a DFT calculation (GGA-PBE) of a relaxed PrDyAlGe crystal.

E_form in eV per atom: -0.663
Space group: Amm2 (38)
Density of states at the Fermi level in states/eV/cell: 3.23

a = 4.094 Å, b = 5.995 Å, c = 5.995 Å
α = 43.84°, β = 90.00°, γ = 90.00°
Atoms (fractional coordinates):
Pr (0.000, 0.000, 0.000)
Dy (0.500, 0.282, 0.282)
Al (0.000, 0.716, 0.716)
Ge (0.500, 0.568, 0.568)

***

The following is a DFT calculation (GGA-PBE) of a relaxed Dy2AlGe4Pt3 crystal.

E_form in eV per atom: -0.828
Space group: P-4m2 (115)
Density of states at the Fermi level in states/eV/cell: 3.41

a = 4.058 Å, b = 4.058 Å, c = 11.303 Å
α = 90.00°, β = 90.00°, γ = 90.00°
Atoms (fractional coordinates):
Dy (0.000, 0.500, 0.245)
Dy (0.500, 0.000, 0.755)
Al (0.500, 0.500, 0.000)
Ge (0.000, 0.000, 0.500)
Ge (0.000, 0.500, 0.856)
Ge (0.500, 0.000, 0.144)
Ge (0.500, 0.500, 0.500)
Pt (0.000, 0.000, 0.000)
Pt (0.000, 0.500, 0.641)
Pt (0.500, 0.000, 0.359)

***

The following is a DFT calculation (GGA-PBE) of a relaxed SmDyAl2Ge crystal.

E_form in eV per atom: -0.475
Space group: Imm2 (44)
Density of states at the Fermi level in states/eV/cell: 1.77

a = 6.903 Å, b = 6.903 Å, c = 6.903 Å
α = 143.49°, β = 142.78°, γ = 53.13°
Atoms (fractional coordinates):
Sm (0.000, 0.000, 0.000)
Dy (0.254, 0.754, 0.500)
Al (0.602, 0.602, 0.000)
Al (0.737, 0.237, 0.500)
Ge (0.401, 0.401, 0.000)